Entry 1:
The following is a DFT calculation (PBE) of an optimized crystal structure of TaNb.

Results
Calculated formation energy: 0.0 eV/f.u.
Total moment: 0.0 μB per cell

a = 4.6891 Å, b = 4.6891 Å, c = 4.6891 Å
α = 60.00°, β = 60.00°, γ = 60.00°
Sites, in units of the cell vectors:
Nb 0.2500 0.2500 0.2500
Ta 0.5000 0.5000 0.5000
Nb 0.0000 0.0000 0.0000
Ta 0.7500 0.7500 0.7500


Entry 2:
The following is a DFT calculation (PBE) of an optimized crystal structure of PrAsNO.

Results
DFT total energy: -6.8030 eV/atom
Total moment: 0.0 μB per cell

a = 3.9019 Å, b = 5.7482 Å, c = 5.2535 Å
α = 90.00°, β = 90.00°, γ = 90.00°
Sites, in units of the cell vectors:
O 0.5000 0.7539 0.8971
N 0.0000 0.9427 0.3039
Pr 0.0000 0.5372 0.1901
As 0.5000 0.0203 0.3567
Pr 0.0000 0.0372 0.8099
As 0.5000 0.5203 0.6434
N 0.0000 0.4427 0.6961
O 0.5000 0.2539 0.1029


Entry 3:
The following is a DFT calculation (PBE) of an optimized crystal structure of TmNbAg2O4.

Results
DFT total energy: -6.7678 eV/atom
Total moment: 0.0 μB per cell

a = 3.2033 Å, b = 3.2033 Å, c = 13.1460 Å
α = 90.00°, β = 90.00°, γ = 120.00°
Sites, in units of the cell vectors:
Ag 0.3333 0.6667 0.2520
O 0.3333 0.6667 0.4122
O 0.6667 0.3333 0.5878
O 0.3333 0.6667 0.0887
Tm 0.0000 0.0000 0.5000
Ag 0.6667 0.3333 0.7480
Nb 0.0000 0.0000 0.0000
O 0.6667 0.3333 0.9113